No. 1
Below is Mg2BiRu after structural relaxation, with properties calculated at the PBE level.

Output
* crystal system: tetragonal
* E_tot: -3.841 eV/atom
* energy relative to the elements: 0.245 eV/atom

a b c (Å): 10.074 10.074 7.567
angles (deg): 48.27 48.27 90.00
Element x y z (fractional)
Mg 0.875 0.625 0.750
Mg 0.375 0.625 0.250
Mg 0.375 0.625 0.750
Mg 0.375 0.125 0.250
Bi 0.750 0.250 0.500
Bi 0.000 0.000 0.000
Ru 0.500 0.500 0.000
Ru 0.250 0.750 0.500

No. 2
Below is HgTeAs2 after structural relaxation, with properties calculated at the PBE level.

Output
* crystal system: orthorhombic
* E_tot: -2.947 eV/atom
* ΔE to the lowest computed polymorph: 0.150 eV per atom
* formation energy without anion corrections: 239 meV per atom

a b c (Å): 7.567 7.567 7.567
angles (deg): 153.45 147.17 42.71
Element x y z (fractional)
As 0.943 0.943 0.000
As 0.818 0.318 0.500
Te 0.196 0.696 0.500
Hg 0.543 0.543 0.000

- Number 2 is which compound?
  HgTeAs2

- Which of these has the highest E_tot?
  HgTeAs2